Material: Dy3Mg2TlCdGa2
Method: DFT, PBE
State: relaxed

CIF file:
```
data_Dy3Mg2TlCdGa2
_chemical_formula_sum 'Dy6 Mg4 Tl2 Cd2 Ga4'
_symmetry_space_group_name_H-M 'A m m 2'
_symmetry_Int_Tables_number 38
_cell_length_a 4.551
_cell_length_b 12.674
_cell_length_c 7.300
_cell_angle_alpha 90.00
_cell_angle_beta 90.00
_cell_angle_gamma 90.00
loop_
_symmetry_equiv_pos_as_xyz
'x,y,z'
'-x,-y,z'
'-x,y,z'
'x,-y,z'
'x,y+1/2,z+1/2'
'-x,-y+1/2,z+1/2'
'-x,y+1/2,z+1/2'
'x,-y+1/2,z+1/2'
loop_
_atom_site_label
_atom_site_fract_x
_atom_site_fract_y
_atom_site_fract_z
Dy1 0.000 0.000 0.000
Dy2 0.000 0.218 0.340
Mg1 0.500 0.125 0.682
Tl1 0.000 0.000 0.566
Cd1 0.500 0.000 0.303
Ga1 0.500 0.169 0.057
```

## Properties
Energy ... -3.3637 eV/atom
Size of the total moment ... 0.00 μB/atom